Below is an optimized crystal structure of Nd2AlMoO6, with properties calculated at the PBE+U level.

Raw total energy = -7.90 eV per atom
SG = P2_1/c (14)
Total magnetization = 3.00 μB/f.u.

abc: 5.5066 5.6834 7.8797
angles: 90.00 90.28 90.00
Last column: magnetic moment on the atom in μB.
Atoms (fractional coordinates):
Nd1 0.0139 0.9473 0.2500  0.01
Nd2 0.5139 0.5527 0.7500  0.01
Nd3 0.9861 0.0527 0.7500  0.01
Nd4 0.4861 0.4473 0.2500  0.01
Al1 0.5000 0.0000 0.5000  0.00
Al2 0.0000 0.5000 0.0000  0.00
Mo1 0.5000 0.0000 0.0000  2.63
Mo2 0.0000 0.5000 0.5000  2.63
O1 0.2818 0.6921 0.0480  0.03
O2 0.7818 0.8079 0.5480  0.03
O3 0.7182 0.3079 0.9520  0.03
O4 0.2182 0.1921 0.4520  0.03
O5 0.3102 0.7186 0.4467  0.03
O6 0.8102 0.7814 0.9467  0.03
O7 0.6898 0.2814 0.5533  0.03
O8 0.1898 0.2186 0.0533  0.03
O9 0.9052 0.5303 0.2354  0.03
O10 0.4052 0.9697 0.7354  0.03
O11 0.0948 0.4697 0.7646  0.03
O12 0.5948 0.0303 0.2646  0.03